First-principles (PBE) data for an optimized crystal structure of CsBTe2, as listed in the Alexandria database.

Results
Its uncorrected formation energy is -0.154 eV per atom. Its space-group type is I-42d.

Cell and atoms, written as POSCAR:
```
CsBTe2
1.0
7.652 0.000 0.000
0.000 7.652 0.000
3.826 3.826 4.487
Cs B Te
2 2 4
Cartesian
0.000 0.000 0.000 Cs
7.652 3.826 2.243 Cs
3.826 3.826 0.000 B
3.826 7.652 2.243 B
4.661 1.913 1.122 Te
2.990 5.739 1.122 Te
5.739 6.816 3.365 Te
9.565 8.487 3.365 Te
```

---

First-principles (PBE) data for an optimized crystal structure of BaLiNd2Tl4, as listed in the Alexandria database.

Results
The formation energy is -0.31 eV per atom. Its space-group type is R-3m.

Cell and atoms, written as POSCAR:
```
BaLiNd2Tl4
1.0
-4.153 -1.910 2.739
-1.438 -5.101 -0.555
4.545 -4.999 8.588
Ba Li Nd Tl
1 1 2 4
Cartesian
0.000 0.000 0.000 Ba
-0.523 -6.005 5.386 Li
-1.163 -8.851 7.615 Nd
0.117 -3.160 3.158 Nd
1.433 -6.817 7.785 Tl
-3.148 -8.026 5.181 Tl
2.102 -3.984 5.592 Tl
-2.479 -5.193 2.988 Tl
```

---

First-principles (PBE) data for an optimized crystal structure of RbHf2Mn, as listed in the Alexandria database.

Results
The formation energy is 1.31 eV per atom. The calculation puts the energy relative to the lowest polymorph listed for this composition at 0.1429 eV/atom. Its space-group type is Fm-3m.

Cell and atoms, written as POSCAR:
```
RbHf2Mn
1.0
0.000 3.532 3.532
3.532 0.000 3.532
3.532 3.532 0.000
Mn Hf Rb
1 2 1
Cartesian
0.000 0.000 0.000 Mn
1.766 1.766 1.766 Hf
5.298 5.298 5.298 Hf
3.532 3.532 3.532 Rb
```

---

First-principles (PBE) data for an optimized crystal structure of Zr2TcOs, as listed in the Alexandria database.

Results
The formation energy is -0.48 eV per atom. Its space-group type is Fm-3m.

Cell and atoms, written as POSCAR:
```
Zr2TcOs
1.0
-1.204 -1.765 -4.127
-1.829 -4.264 -0.259
-4.488 -0.542 -1.075
Os Tc Zr
1 1 2
Cartesian
-1.880 -1.643 -1.365 Os
-5.641 -4.928 -4.096 Tc
0.000 0.000 0.000 Zr
-3.761 -3.286 -2.731 Zr
```

---

First-principles (PBE) data for an optimized crystal structure of LaGdMgTc, as listed in the Alexandria database.

Results
The formation energy is 0.07 eV per atom. Its space-group type is F-43m.

Cell and atoms, written as POSCAR:
```
LaGdMgTc
1.0
5.168 0.000 0.000
2.584 4.476 0.000
2.584 1.492 4.220
Mg Gd Tc La
1 1 1 1
Cartesian
0.000 0.000 0.000 Mg
7.752 4.476 3.165 Gd
5.168 2.984 2.110 Tc
2.584 1.492 1.055 La
```

---

First-principles (PBE) data for an optimized crystal structure of TbSmBiI, as listed in the Alexandria database.

Results
Its uncorrected formation energy is -0.757 eV per atom. Its space-group type is F-43m.

Cell and atoms, written as POSCAR:
```
TbSmBiI
1.0
-2.638 2.712 -3.998
-0.947 -2.460 -4.832
-5.124 -1.451 -1.392
I Tb Bi Sm
1 1 1 1
Cartesian
0.000 0.000 0.000 I
-2.177 -0.300 -2.556 Tb
-4.354 -0.599 -5.112 Bi
-6.532 -0.899 -7.667 Sm
```

---

First-principles (PBE) data for an optimized crystal structure of BeTcTe, as listed in the Alexandria database.

Results
The calculation puts the energy relative to the lowest polymorph listed for this composition at 0.2795 eV/atom. Its uncorrected formation energy is 0.481 eV per atom. Its space-group type is F-43m.

Cell and atoms, written as POSCAR:
```
BeTcTe
1.0
4.242 0.000 0.000
2.121 3.674 0.000
2.121 1.225 3.464
Be Te Tc
1 1 1
Cartesian
4.242 2.449 1.732 Be
0.000 0.000 0.000 Te
6.363 3.674 2.598 Tc
```

---

First-principles (PBE) data for an optimized crystal structure of La2PmPt9, as listed in the Alexandria database.

Results
The formation energy is -0.94 eV per atom. Its space-group type is R-3m.

Cell and atoms, written as POSCAR:
```
La2PmPt9
1.0
-3.631 -2.971 -2.824
-3.209 -3.595 2.600
-8.486 4.234 1.148
La Pm Pt
2 1 9
Cartesian
-9.427 -3.889 0.286 La
-5.899 1.557 0.638 La
0.000 0.000 0.000 Pm
-13.035 -0.155 0.996 Pt
-2.291 -2.177 -0.072 Pt
-7.663 -1.166 0.462 Pt
-4.969 -1.660 0.196 Pt
-6.801 -3.158 -1.229 Pt
-6.588 -3.473 1.507 Pt
-10.357 -0.672 0.728 Pt
-8.738 1.142 -0.583 Pt
-8.525 0.827 2.153 Pt
```

---

First-principles (PBE) data for an optimized crystal structure of KCr2Bi, as listed in the Alexandria database.

Results
The formation energy is 0.81 eV per atom. Its space-group type is I4_1/amd.

Cell and atoms, written as POSCAR:
```
KCr2Bi
1.0
-4.395 1.010 -3.615
-2.052 -5.308 1.011
-8.379 1.218 5.908
Cr K Bi
4 2 2
Cartesian
-6.196 0.525 -1.558 Cr
-7.224 -2.129 -1.054 Cr
-8.189 0.628 3.202 Cr
-10.386 1.135 1.395 Cr
-3.224 -2.149 -1.302 K
-6.827 -3.119 2.809 K
0.000 0.000 0.000 Bi
-7.999 0.040 0.496 Bi
```